Entry 1:
This record from the Alexandria database describes an optimized crystal structure of Cr. The functional is PBE-GGA.

Lattice parameters (Å, degrees): 4.6739 4.6739 7.6760 90.00 90.00 120.00
With the nearest neighbours (Å) after each atom.
Space group P6_3/mmc (No. 194)
One atom of each set of equivalent atoms:
Cr (0.0000, 0.0000, 0.0000)  6 Cr 2.36
Cr (0.1707, 0.3413, 0.2500)  6 Cr 2.28-2.39
Cr (0.3333, 0.6667, 0.5475)  15 Cr 2.64-2.81

=====

Entry 2:
This record from the Alexandria database describes an optimized crystal structure of Mg2ScRh4. The functional is PBE-GGA.

Lattice parameters (Å, degrees): 4.2960 4.2960 12.5480 90.00 90.00 90.00
With the nearest neighbours (Å) after each atom.
Space group I4/mmm (No. 139)
One atom of each set of equivalent atoms:
Mg (0.0000, 0.0000, 0.2453)  8 Rh 2.67-2.74
Sc (0.0000, 0.0000, 0.5000)  8 Rh 2.62
Rh (0.0000, 0.5000, 0.1196)  2 Sc 2.62, 4 Mg 2.67-2.74

=====

Per-record energy relative to the elements, eV/atom: 0.28 -0.30
Per-record DOS(E_F), states/eV/atom: 1.690 0.826